DFT (PBE-GGA) results for a relaxed Pm2AlAg2 crystal.

* energy: -4.056 eV per atom
* space-group type: P4/mbm, No. 127
* calculated formation energy: -266.6 meV per atom
* energy relative to the lowest polymorph listed for this composition: 27 meV per atom

a = 7.6075 Å, b = 7.6075 Å, c = 4.2644 Å
α = 90.00°, β = 90.00°, γ = 90.00°
Sites, in units of the cell vectors:
Pm: 0.1748 0.3252 0.0000
Pm: 0.3252 0.8252 0.0000
Pm: 0.6748 0.1748 0.0000
Pm: 0.8252 0.6748 0.0000
Al: 0.0000 0.0000 0.5000
Al: 0.5000 0.5000 0.5000
Ag: 0.1310 0.6310 0.5000
Ag: 0.3690 0.1310 0.5000
Ag: 0.6310 0.8690 0.5000
Ag: 0.8690 0.3690 0.5000